Material: Mn3HgBi
Method: DFT, GGA-PBE
State: relaxed

```
5
Lattice="-0.499 -0.561 -4.959 -2.259 -4.418 0.727 -4.450 2.306 0.187" Properties=species:S:1:pos:R:3 pbc="T T T"
Mn -2.225 1.153 0.093
Mn -0.250 -0.281 -2.479
Mn -1.130 -2.209 0.364
Hg 0.000 0.000 0.000
Bi -3.604 -1.336 -2.022
```

Calculated values
- V: 126.1 Å³ per cell
- Raw total energy: -5.42 eV/atom
- ΔE to the lowest computed polymorph: 0.0 kJ per mole of atoms
- ΔH_f (0 K): 0.914 eV/atom
- Spin magnetization: 12.22 μB per formula unit
- Crystal system: cubic
- Density: 7.56 g cm⁻³